DFT (PBE) results for a geometry-optimized In2HgB structure.

Computed properties:
- Energy relative to the lowest polymorph listed for this composition: 143 kJ/mol of formula units
- E_form: 887.2 meV/atom

The structure in POSCAR format:
```
In2HgB
1.0
7.0279 0.0000 0.0000
0.0000 7.0279 0.0000
0.0000 0.0000 7.0279
In Hg B
8 4 4
direct
0.2500 0.2500 0.2500
0.2500 0.2500 0.7500
0.2500 0.7500 0.2500
0.2500 0.7500 0.7500
0.7500 0.2500 0.2500
0.7500 0.2500 0.7500
0.7500 0.7500 0.2500
0.7500 0.7500 0.7500
0.0000 0.0000 0.0000
0.0000 0.5000 0.5000
0.5000 0.0000 0.5000
0.5000 0.5000 0.0000
0.0000 0.0000 0.5000
0.0000 0.5000 0.0000
0.5000 0.0000 0.0000
0.5000 0.5000 0.5000
```